(1)
LaInAg4 GGA-PBEsol relaxed; energy relative to the elements = -1.7 eV/f.u.; SG = F-43m, No. 216
1.0
0.000 3.932 3.932
3.932 0.000 3.932
3.932 3.932 0.000
La In Ag
1 1 4
Direct
0.000 0.000 0.000
0.750 0.750 0.750
0.375 0.375 0.375
0.375 0.375 0.874
0.375 0.874 0.375
0.874 0.375 0.375

(2)
La2InAg GGA-PBEsol relaxed; energy relative to the elements = -1.4 eV/f.u.; SG = Imm2, No. 44
1.0
-1.915 2.595 5.439
1.915 -2.595 5.439
1.915 2.595 -5.439
La In Ag
2 1 1
Direct
0.000 0.000 0.000
0.717 0.217 0.500
0.437 0.437 0.000
0.246 0.746 0.500

(3)
La2InAg2 GGA-PBEsol relaxed; energy relative to the elements = -0.7 eV/f.u.; SG = I4/mmm, No. 139
1.0
-2.934 2.934 4.068
2.934 -2.934 4.068
2.934 2.934 -4.068
La In Ag
2 1 2
Direct
0.250 0.750 0.500
0.750 0.250 0.500
0.000 0.000 0.000
0.346 0.346 0.000
0.654 0.654 0.000

(4)
La2InAg GGA-PBEsol relaxed; energy relative to the elements = -1.5 eV/f.u.; SG = P4/mmm, No. 123
1.0
3.721 0.000 0.000
0.000 3.721 0.000
0.000 0.000 8.015
La In Ag
2 1 1
Direct
0.000 0.000 0.240
0.000 0.000 0.760
0.500 0.500 0.500
0.500 0.500 0.000

(5)
La2InAg GGA-PBEsol relaxed; energy relative to the elements = -1.5 eV/f.u.; SG = Pmm2, No. 25
1.0
3.711 0.000 0.000
0.000 5.099 0.000
0.000 0.000 5.614
La In Ag
2 1 1
Direct
0.000 0.000 0.000
0.000 0.500 0.366
0.500 0.000 0.520
0.500 0.500 0.842

(6)
LaZnIn2Ag GGA-PBEsol relaxed; energy relative to the elements = 1.1 eV/f.u.; SG = P4/mmm, No. 123
1.0
4.948 0.000 0.000
0.000 4.948 0.000
0.000 0.000 5.529
La Zn In Ag
1 1 2 1
Direct
0.000 0.000 0.000
0.000 0.000 0.500
0.000 0.500 0.500
0.500 0.000 0.500
0.500 0.500 0.000

In the order shown, the computed calculated volume values come out to 121.6, 108.1, 140.0, 110.9, 106.2, 135.4 Å³ per cell.
In the order shown, the computed N(E_F) values come out to 0.47, 3.24, 3.75, 4.78, 3.11, 4.12 states/eV/cell.